Zn2SiNi5 | PBE | relaxed

POSCAR file:
```
Zn2SiNi5
1.0
-1.862 1.862 6.608
1.862 -1.862 6.608
1.862 1.862 -6.608
Zn Si Ni
2 1 5
direct
0.247 0.247 0.000
0.753 0.753 0.000
0.500 0.500 0.000
0.000 0.000 0.000
0.118 0.618 0.500
0.382 0.882 0.500
0.618 0.118 0.500
0.882 0.382 0.500
```

Summary:
**ΔE_f (raw)**: -0.32 eV per atom

TmPa3Se4 | PBE | relaxed

POSCAR file:
```
TmPa3Se4
1.0
-2.869 2.869 5.738
2.869 -2.869 5.738
2.869 2.869 -5.738
Tm Pa Se
1 3 4
direct
0.000 0.000 0.000
0.250 0.750 0.500
0.500 0.500 0.000
0.750 0.250 0.500
0.000 0.500 0.500
0.246 0.246 0.000
0.500 0.000 0.500
0.754 0.754 0.000
```

Summary:
**ΔE_f (raw)**: -1.31 eV per atom

Pm4AuSeS2 | PBE | relaxed

POSCAR file:
```
Pm4AuSeS2
1.0
7.194 0.000 0.000
0.000 4.085 0.000
-2.350 0.000 6.841
Pm Au Se S
4 1 1 2
direct
0.243 0.000 0.236
0.253 0.500 0.767
0.747 0.500 0.233
0.757 0.000 0.764
0.500 0.500 0.500
0.000 0.000 0.500
0.000 0.500 0.000
0.500 0.000 0.000
```

Summary:
**ΔE_f (raw)**: -1.65 eV per atom

LaZrAl | PBE | relaxed

POSCAR file:
```
LaZrAl
1.0
-1.621 1.621 7.109
1.621 -1.621 7.109
1.621 1.621 -7.109
La Zr Al
1 1 1
direct
0.000 0.000 0.000
0.701 0.701 0.000
0.332 0.332 0.000
```

Summary:
**E above lowest polymorph**: 0 meV/atom
**Energy of formation**: -0.135 eV/atom

| no. | Fermi-level density of states (states/eV/cell) |
| --- | --- |
| 1 | 4.38 |
| 2 | 13.28 |
| 3 | 5.67 |
| 4 | 3.40 |